[1]
This record from the Alexandria database describes a relaxed SmHoFe10 crystal. The functional is PBE.

Unit cell a=3.948 b=5.025 c=8.672 alpha=90.00 beta=90.00 gamma=90.00
Each line ends with the local moment (μB).
Sites, in units of the cell vectors:
Fe: 0.500 0.500 0.000  2.10
Fe: 0.500 0.252 0.747  2.06
Fe: 0.000 0.500 0.169  2.11
Fe: 0.500 0.000 0.500  1.94
Ho: 0.000 0.500 0.500  -0.41
Fe: 0.000 0.500 0.831  2.11
Fe: 0.000 0.000 0.664  2.10
Fe: 0.500 0.252 0.253  2.06
Fe: 0.500 0.748 0.253  2.06
Sm: 0.000 0.000 0.000  -0.26
Fe: 0.500 0.748 0.747  2.06
Fe: 0.000 0.000 0.336  2.10

Summary:
ΔE_f ... -0.30 eV per formula unit

=====

[2]
This record from the Alexandria database describes a relaxed ReMoAsSe2 crystal. The functional is PBE.

Unit cell a=4.957 b=4.957 c=4.720 alpha=90.00 beta=90.00 gamma=90.00
Each line ends with the local moment (μB).
Sites, in units of the cell vectors:
Se: 0.000 0.500 0.000  -0.15
Re: 0.000 0.000 0.000  0.11
Mo: 0.500 0.500 0.500  3.45
Se: 0.500 0.000 0.000  -0.15
As: 0.000 0.000 0.500  -0.14

Summary:
Energy relative to the elements, uncorrected ... 1.142 eV per atom
Polymorph energy (0 for the lowest one) ... 0 meV/atom

=====

[3]
This record from the Alexandria database describes a relaxed InCSe2Br crystal. The functional is PBE.

Unit cell a=5.403 b=5.403 c=5.350 alpha=90.00 beta=90.00 gamma=90.00
Each line ends with the local moment (μB).
Sites, in units of the cell vectors:
C: 0.500 0.500 0.500  0.88
Se: 0.000 0.500 0.000  -0.56
In: 0.000 0.000 0.000  0.03
Br: 0.000 0.000 0.500  -0.04
Se: 0.500 0.000 0.000  -0.56

Summary:
Energy relative to the elements, uncorrected ... 1.578 eV per atom
Polymorph energy (0 for the lowest one) ... 803 meV/atom